# 1
First-principles (PBE-GGA) data for crystalline CdBiPPt2 at its relaxed geometry, as listed in Alexandria.

a b c (Å): 5.1129 5.1129 5.2653
angles (deg): 90.00 90.00 90.00
Last column: nearest neighbours and their distance in Å.
Fractional positions:
Cd: 0.0000 0.0000 0.0000  4 P 3.62, 8 Pt 3.67
Bi: 0.5000 0.5000 0.5000  4 Pt 2.56, 2 P 2.63
P: 0.5000 0.5000 0.0000  2 Bi 2.63
Pt: 0.0000 0.5000 0.5000  2 Bi 2.56
Pt: 0.5000 0.0000 0.5000  2 Bi 2.56

## Properties
Volume: 27.5 A^3/atom
Density of states at the Fermi level: 5.089 states/eV/f.u.
Crystal system: tetragonal
Final energy: -16.966 eV per cell


# 2
First-principles (PBE-GGA) data for crystalline CdBi2P2Pt7 at its relaxed geometry, as listed in Alexandria.

a b c (Å): 15.0623 15.0623 15.0623
angles (deg): 164.77 164.77 21.60
Last column: nearest neighbours and their distance in Å.
Fractional positions:
Cd: 0.0000 0.0000 0.0000  12 Pt 2.82-2.94
Bi: 0.2100 0.2100 0.0000  5 Pt 2.87
Bi: 0.7900 0.7900 0.0000  5 Pt 2.87
P: 0.3848 0.3848 0.0000  5 Pt 2.30-2.36
P: 0.6152 0.6152 0.0000  5 Pt 2.30-2.36
Pt: 0.0729 0.5729 0.5000  2 P 2.36
Pt: 0.3069 0.3069 0.0000  1 P 2.30
Pt: 0.4271 0.9271 0.5000  2 P 2.36
Pt: 0.5000 0.5000 0.0000  4 Cd 2.82, 8 Pt 2.94
Pt: 0.5729 0.0729 0.5000  2 P 2.36
Pt: 0.6931 0.6931 0.0000  1 P 2.30
Pt: 0.9271 0.4271 0.5000  2 P 2.36

## Properties
Volume: 19.6 A^3/atom
Density of states at the Fermi level: 7.084 states/eV/f.u.
Crystal system: tetragonal
Final energy: -66.466 eV per cell


# 3
First-principles (PBE-GGA) data for crystalline CdBi2PRu at its relaxed geometry, as listed in Alexandria.

a b c (Å): 5.6462 5.6462 4.7085
angles (deg): 90.00 90.00 90.00
Last column: nearest neighbours and their distance in Å.
Fractional positions:
Cd: 0.0000 0.0000 0.0000  2 P 2.35
Bi: 0.0000 0.5000 0.0000  2 Cd 2.82
Bi: 0.5000 0.0000 0.0000  2 Cd 2.82
P: 0.0000 0.0000 0.5000  2 Cd 2.35
Ru: 0.5000 0.5000 0.5000  8 Bi 3.68, 4 P 3.99

## Properties
Volume: 30.0 A^3/atom
Density of states at the Fermi level: 4.032 states/eV/f.u.
Crystal system: tetragonal
Final energy: -15.952 eV per cell


# 4
First-principles (PBE-GGA) data for crystalline CdBiPS2 at its relaxed geometry, as listed in Alexandria.

a b c (Å): 4.9558 4.9558 4.9509
angles (deg): 90.00 90.00 90.00
Last column: nearest neighbours and their distance in Å.
Fractional positions:
Cd: 0.0000 0.0000 0.0000  2 P 2.48, 4 S 2.48
Bi: 0.5000 0.5000 0.5000  8 S 3.50, 4 P 3.50
P: 0.0000 0.0000 0.5000  2 Cd 2.48
S: 0.0000 0.5000 0.0000  2 Cd 2.48
S: 0.5000 0.0000 0.0000  2 Cd 2.48

## Properties
Volume: 24.3 A^3/atom
Density of states at the Fermi level: 3.777 states/eV/f.u.
Crystal system: tetragonal
Final energy: -15.217 eV per cell


# 5
First-principles (PBE-GGA) data for crystalline CdBi2TeP at its relaxed geometry, as listed in Alexandria.

a b c (Å): 5.9127 5.9127 5.4248
angles (deg): 90.00 90.00 90.00
Last column: nearest neighbours and their distance in Å.
Fractional positions:
Cd: 0.0000 0.0000 0.0000  2 Te 2.71
Bi: 0.0000 0.5000 0.5000  2 Te 2.96
Bi: 0.5000 0.0000 0.5000  2 Te 2.96
Te: 0.0000 0.0000 0.5000  2 Cd 2.71, 4 Bi 2.96
P: 0.5000 0.5000 0.0000  8 Bi 4.01, 4 Cd 4.18

## Properties
Volume: 37.9 A^3/atom
Density of states at the Fermi level: 5.817 states/eV/f.u.
Crystal system: tetragonal
Final energy: -12.156 eV per cell


# 6
First-principles (PBE-GGA) data for crystalline Tl2CdBiP at its relaxed geometry, as listed in Alexandria.

a b c (Å): 5.4923 5.4923 5.7037
angles (deg): 90.00 90.00 90.00
Last column: nearest neighbours and their distance in Å.
Fractional positions:
Tl: 0.0000 0.5000 0.0000  2 Cd 2.75
Tl: 0.5000 0.0000 0.0000  2 Cd 2.75
Cd: 0.0000 0.0000 0.0000  4 Tl 2.75, 2 Bi 2.85
Bi: 0.0000 0.0000 0.5000  2 Cd 2.85
P: 0.5000 0.5000 0.5000  4 Bi 3.88, 8 Tl 3.96

## Properties
Volume: 34.4 A^3/atom
Density of states at the Fermi level: 3.029 states/eV/f.u.
Crystal system: tetragonal
Final energy: -11.166 eV per cell